No. 1
A plane-wave DFT calculation with PBE-GGA was carried out for an optimized crystal structure of Rb2VBSe4.

The calculation puts the formation energy from raw total energies at -0.703 eV/atom. The space group is Fddd. For the raw total energy, the calculation gives -4.66 eV/atom. Its spin magnetization is 0.250 μB/atom. As for the density of states at the Fermi level: 0.49 states/eV per atom.

Lattice parameters (Å, degrees): 14.0629 12.6348 7.4798 84.59 63.44 31.97
Closest atoms and distances in Å follow each position.
Fractional coordinates of all 16 atoms:
Rb (0.0535, 0.0535, 0.6965)  8 Se 3.59-3.97
Rb (0.3035, 0.3035, 0.9465)  8 Se 3.59-3.97
Rb (0.6965, 0.6965, 0.0535)  8 Se 3.59-3.97
Rb (0.9465, 0.9465, 0.3035)  8 Se 3.59-3.97
V (0.1250, 0.1250, 0.1250)  4 Se 2.42
V (0.8750, 0.8750, 0.8750)  4 Se 2.42
B (0.3750, 0.3750, 0.3750)  4 Se 2.10
B (0.6250, 0.6250, 0.6250)  4 Se 2.10
Se (0.0300, 0.6226, 0.5471)  1 B 2.10
Se (0.3004, 0.5471, 0.6226)  1 B 2.10
Se (0.3774, 0.9700, 0.6996)  1 B 2.10
Se (0.4529, 0.6996, 0.9700)  1 B 2.10
Se (0.5471, 0.3004, 0.0300)  1 B 2.10
Se (0.6226, 0.0300, 0.3004)  1 B 2.10
Se (0.6996, 0.4529, 0.3774)  1 B 2.10
Se (0.9700, 0.3774, 0.4529)  1 B 2.10

***

No. 2
A plane-wave DFT calculation with PBE-GGA was carried out for an optimized crystal structure of CsSiSn.

The calculation puts the formation energy from raw total energies at 0.444 eV/atom. The space group is P-6m2. The value obtained for the energy relative to the lowest polymorph listed for this composition is 45.7 kJ per mole of atoms. For the raw total energy, the calculation gives -2.98 eV/atom. Its spin magnetization is 0.000 μB/atom. As for the density of states at the Fermi level: 0.77 states/eV per atom.

Lattice parameters (Å, degrees): 5.4235 5.4235 3.6385 90.00 90.00 120.00
Closest atoms and distances in Å follow each position.
Fractional coordinates of all 3 atoms:
Cs (0.0000, 0.0000, 0.0000)  6 Sn 3.62, 6 Si 3.62, 2 Cs 3.64
Si (0.3333, 0.6667, 0.5000)  3 Sn 3.13
Sn (0.6667, 0.3333, 0.5000)  3 Si 3.13

***

No. 3
A plane-wave DFT calculation with PBE-GGA was carried out for an optimized crystal structure of LaIrRh.

The formation energy comes out at 357.0 meV/atom. The space group is P3m1. The value obtained for the energy relative to the lowest polymorph listed for this composition is 103.4 kJ per mole of atoms. For the raw total energy, the calculation gives -6.69 eV/atom. Its spin magnetization is 0.000 μB/atom. As for the density of states at the Fermi level: 1.52 states/eV per atom.

Lattice parameters (Å, degrees): 2.9222 2.9222 7.5163 90.00 90.00 120.00
Closest atoms and distances in Å follow each position.
Fractional coordinates of all 3 atoms:
La (0.0000, 0.0000, 0.0000)  6 La 2.92, 3 Rh 3.18, 3 Ir 3.19
Ir (0.6667, 0.3333, 0.6405)  3 Rh 2.71, 6 Ir 2.92
Rh (0.3333, 0.6667, 0.3583)  3 Ir 2.71, 6 Rh 2.92

***

No. 4
A plane-wave DFT calculation with PBE-GGA was carried out for an optimized crystal structure of BeC2.

The formation energy comes out at 2256.4 meV/atom. The space group is P-62m. The value obtained for the energy relative to the lowest polymorph listed for this composition is 180.4 kJ per mole of atoms. For the raw total energy, the calculation gives -5.13 eV/atom. Its spin magnetization is 0.000 μB/atom. As for the density of states at the Fermi level: 0.33 states/eV per atom.

Lattice parameters (Å, degrees): 5.1747 5.1747 2.7339 90.00 90.00 120.00
Closest atoms and distances in Å follow each position.
Fractional coordinates of all 9 atoms:
Be (0.0000, 0.0000, 0.0000)  3 C 1.68
Be (0.3333, 0.6667, 0.5000)  3 C 1.91
Be (0.6667, 0.3333, 0.5000)  3 C 1.91
C (0.0000, 0.2689, 0.5000)  4 Be 1.91-1.95, 4 C 2.07
C (0.0000, 0.6758, 0.0000)  1 Be 1.68
C (0.2689, 0.0000, 0.5000)  4 Be 1.91-1.95, 4 C 2.07
C (0.3242, 0.3242, 0.0000)  1 Be 1.68
C (0.6758, 0.0000, 0.0000)  1 Be 1.68
C (0.7311, 0.7311, 0.5000)  4 Be 1.91-1.95, 4 C 2.07

***

No. 5
A plane-wave DFT calculation with PBE-GGA was carried out for an optimized crystal structure of MgPa2Sb2N2.

The calculation puts the formation energy from raw total energies at -1.132 eV/atom. The space group is C2/m. For the raw total energy, the calculation gives -7.63 eV/atom. Its spin magnetization is 0.000 μB/atom. As for the density of states at the Fermi level: 0.08 states/eV per atom.

Lattice parameters (Å, degrees): 6.1375 6.1375 7.4559 121.08 121.08 37.58
Closest atoms and distances in Å follow each position.
Fractional coordinates of all 7 atoms:
Mg (0.0000, 0.0000, 0.0000)  2 N 2.15
Pa (0.1949, 0.1949, 0.7687)  3 N 2.24-2.25
Pa (0.8051, 0.8051, 0.2313)  3 N 2.24-2.25
Sb (0.4299, 0.4299, 0.6543)  2 Mg 2.99, 3 Pa 3.27-3.31
Sb (0.5701, 0.5701, 0.3457)  2 Mg 2.99, 3 Pa 3.27-3.31
N (0.2079, 0.2079, 0.0801)  1 Mg 2.15, 3 Pa 2.24-2.25
N (0.7921, 0.7921, 0.9199)  1 Mg 2.15, 3 Pa 2.24-2.25

***

No. 6
A plane-wave DFT calculation with PBE-GGA was carried out for an optimized crystal structure of NdCdH6Ir2.

The space group is R-3m. For the raw total energy, the calculation gives -4.62 eV/atom. Its spin magnetization is 0.000 μB/atom. As for the density of states at the Fermi level: 0.20 states/eV per atom.

Lattice parameters (Å, degrees): 5.9672 5.9672 5.9672 46.76 46.76 46.76
Closest atoms and distances in Å follow each position.
Fractional coordinates of all 10 atoms:
Nd (0.0000, 0.0000, 0.0000)  12 H 2.53
Cd (0.5000, 0.5000, 0.5000)  6 H 2.32
H (0.0262, 0.5691, 0.5691)  1 Ir 1.64, 1 H 1.76
H (0.4309, 0.4309, 0.9738)  1 Ir 1.64, 1 H 1.76
H (0.4309, 0.9738, 0.4309)  1 Ir 1.64, 1 H 1.76
H (0.5691, 0.0262, 0.5691)  1 Ir 1.64, 1 H 1.76
H (0.5691, 0.5691, 0.0262)  1 Ir 1.64, 1 H 1.76
H (0.9738, 0.4309, 0.4309)  1 Ir 1.64, 1 H 1.76
Ir (0.2119, 0.2119, 0.2119)  3 H 1.64
Ir (0.7881, 0.7881, 0.7881)  3 H 1.64